1) POsCl | PBE | relaxed

abc: 8.2605 7.9708 3.0059
angles: 84.81 73.94 21.25
Atoms (fractional coordinates):
Os  0.3247  0.3247  0.6753
P  0.7141  0.7141  0.2859
Cl  0.9612  0.9612  0.0388

***

2) POsCl | PBE | relaxed

abc: 6.0454 6.0453 6.0453
angles: 150.81 150.81 41.75
Atoms (fractional coordinates):
Cl  0.9894  0.9894  0.0000
Os  0.2137  0.2137  0.0000
P  0.7969  0.7969  0.0000

***

Short version: 1) is the least stable of them.

***

1) POsCl2 | PBE | relaxed

abc: 4.4585 4.4585 4.4585
angles: 60.00 60.00 60.00
Atoms (fractional coordinates):
Os  0.5000  0.5000  0.5000
Cl  0.0000  0.0000  0.0000
Cl  0.2500  0.2500  0.2500
P  0.7500  0.7500  0.7500

***

2) POsCl2 | PBE | relaxed

abc: 8.9768 8.9768 8.9768
angles: 21.02 21.02 21.02
Atoms (fractional coordinates):
Os  0.4827  0.4827  0.4827
P  0.7673  0.7673  0.7673
Cl  0.0298  0.0298  0.0298
Cl  0.2201  0.2201  0.2201

***

Short version: 1) is the least stable of them.